Below is a relaxed structure of ZrMnIn, with properties calculated at the GGA-PBEsol level.

Calculated values
density: 7.510 Mg/m³
final energy: -21.2 eV for the cell shown

```
data_ZrMnIn
_symmetry_space_group_name_H-M 'P 3 m 1'
_symmetry_Int_Tables_number 156
_symmetry_space_group_name_Hall 'P 3 -2"'
_cell_length_a 3.0834
_cell_length_b 3.0834
_cell_length_c 7.0091
_cell_angle_alpha 90.00
_cell_angle_beta 90.00
_cell_angle_gamma 120.00
loop_
_atom_site_label
_atom_site_type_symbol
_atom_site_fract_x
_atom_site_fract_y
_atom_site_fract_z
Zr1 Zr 0.0000 0.0000 0.0000
Mn1 Mn 0.3333 0.6667 0.3125
In1 In 0.6667 0.3333 0.6316
```

Below is a relaxed structure of NdBi2BrO4, with properties calculated at the GGA-PBEsol level.

Calculated values
density: 8.297 Mg/m³
energy relative to the elements, uncorrected: -1524 kJ/mol of formula units
final energy: -52.4 eV for the cell shown

```
data_NdBi2BrO4
_symmetry_space_group_name_H-M 'P 4/m m m'
_symmetry_Int_Tables_number 123
_symmetry_space_group_name_Hall '-P 4 2'
_cell_length_a 3.928
_cell_length_b 3.928
_cell_length_c 9.160
_cell_angle_alpha 90.00
_cell_angle_beta 90.00
_cell_angle_gamma 90.00
loop_
_atom_site_label
_atom_site_type_symbol
_atom_site_fract_x
_atom_site_fract_y
_atom_site_fract_z
Nd1 Nd 0.000 0.000 0.000
Bi1 Bi 0.500 0.500 0.277
Br1 Br 0.000 0.000 0.500
O1 O 0.000 0.500 0.158
```